DFT (SCAN) results for Mn4As3 at its PBEsol-relaxed geometry.

Cell lengths 13.2535, 3.2759, 8.8784 Å; angles 90.00, 99.83, 90.00 degrees
Space group C2/m (No. 12)
Unique sites:
Mn 0.0000 0.0000 0.0000 (multiplicity 2)
Mn 0.0000 0.0000 0.5000 (multiplicity 2)
Mn 0.0651 0.5000 0.2476 (multiplicity 4)
Mn 0.1646 0.5000 0.9388 (multiplicity 4)
Mn 0.2267 0.0000 0.6943 (multiplicity 4)
As 0.0676 0.0000 0.7664 (multiplicity 4)
As 0.1536 0.5000 0.5004 (multiplicity 4)
As 0.1720 0.0000 0.1494 (multiplicity 4)

## Properties
* energy of formation from the pure elements: -8.63 kcal/mol of atoms
* total moment: 10.627 μB/f.u.